{"formula": "ZrMoAs2O", "functional": "GGA+U", "state": "optimized geometry", "m_tot_mub_per_cell": 3.48, "spacegroup": "P4/mmm, No. 123", "e_tot_ev_per_atom": -6.14, "lattice": [[4.8243, 0.0000, 0.0000], [0.0000, 4.0366, 0.0000], [0.0000, 0.0000, 4.8243]], "species": ["Mo", "Zr", "As", "O", "As"], "fractional_positions": [[0.5000, 0.5000, 0.5000], [0.0000, 0.5000, 0.0000], [0.0000, 0.0000, 0.5000], [0.0000, 0.0000, 0.0000], [0.5000, 0.0000, 0.0000]]}